! Sr3HfV2O9, optimized geometry, DFT PBE+U; values from VASP
&SYSTEM
  ibrav = 0, nat = 15, ntyp = 4
/
ATOMIC_SPECIES
Sr 87.62 Sr.upf
Hf 178.49 Hf.upf
V 50.94 V.upf
O 16.00 O.upf
CELL_PARAMETERS angstrom
5.6574 0.0000 0.0000
-2.8287 4.8994 0.0000
0.0000 0.0000 6.8650
ATOMIC_POSITIONS crystal
Sr 0.0000 0.0000 0.0000
Sr 0.3333 0.6667 0.6785
Sr 0.6667 0.3333 0.3215
Hf 0.0000 0.0000 0.5000
V 0.3333 0.6667 0.1623
V 0.6667 0.3333 0.8377
O 0.0000 0.5000 0.0000
O 0.1705 0.3411 0.3244
O 0.1705 0.8295 0.3244
O 0.3411 0.1705 0.6756
O 0.5000 0.0000 0.0000
O 0.5000 0.5000 0.0000
O 0.6589 0.8295 0.3244
O 0.8295 0.1705 0.6756
O 0.8295 0.6589 0.6756
! E_tot in eV/atom: -7.743
! Density of states at the Fermi level in states/eV/atom: 0.003